! SrLa2TbS4 (PBE-GGA, relaxed); values from VASP
&SYSTEM
  ibrav = 0, nat = 8, ntyp = 4
/
ATOMIC_SPECIES
Sr 87.62 Sr.upf
La 138.91 La.upf
Tb 158.93 Tb.upf
S 32.06 S.upf
CELL_PARAMETERS angstrom
7.137 0.000 0.000
0.000 4.095 0.000
-2.340 0.000 6.766
ATOMIC_POSITIONS angstrom
Sr 0.000 0.000 0.000
La -1.170 2.048 3.383
La 2.399 0.000 3.383
Tb 3.569 2.048 0.000
S 1.270 2.048 1.655
S 0.092 0.000 5.161
S 4.706 0.000 1.606
S 3.528 2.048 5.111
! Electronic total energy (eV per cell): -49.31
! Symmetry: P2/m, No. 10
! E_form (uncorrected) (meV/atom): -2079